Model i:
A relaxed TlPt2C crystal, computed with PBE-GGA.

Values from the calculation:
Magnetization (μB per cell): 0.00

Unit cell a=6.383 b=6.383 c=7.201 alpha=90.00 beta=90.00 gamma=90.00
Element x y z (fractional)
1 Tl 0.000 0.000 0.000
2 Tl 0.000 0.500 0.250
3 Tl 0.500 0.000 0.750
4 Tl 0.500 0.500 0.500
5 Pt 0.123 0.250 0.625
6 Pt 0.250 0.623 0.875
7 Pt 0.250 0.877 0.375
8 Pt 0.377 0.250 0.125
9 Pt 0.623 0.750 0.125
10 Pt 0.750 0.123 0.375
11 Pt 0.750 0.377 0.875
12 Pt 0.877 0.750 0.625
13 C 0.000 0.000 0.500
14 C 0.000 0.500 0.750
15 C 0.500 0.000 0.250
16 C 0.500 0.500 0.000

***

Model ii:
A relaxed TlPt2C crystal, computed with PBE-GGA.

Values from the calculation:
Magnetization (μB per cell): 0.00

Unit cell a=6.362 b=6.362 c=6.362 alpha=90.00 beta=90.00 gamma=90.00
Element x y z (fractional)
1 Tl 0.000 0.000 0.000
2 Tl 0.000 0.500 0.500
3 Tl 0.500 0.000 0.500
4 Tl 0.500 0.500 0.000
5 Pt 0.250 0.250 0.250
6 Pt 0.250 0.250 0.750
7 Pt 0.250 0.750 0.250
8 Pt 0.250 0.750 0.750
9 Pt 0.750 0.250 0.250
10 Pt 0.750 0.250 0.750
11 Pt 0.750 0.750 0.250
12 Pt 0.750 0.750 0.750
13 C 0.000 0.000 0.500
14 C 0.000 0.500 0.000
15 C 0.500 0.000 0.000
16 C 0.500 0.500 0.500

***

Result of the stability comparison: model i is the most stable of them.

***

Model i:
A relaxed Tm3PtC crystal, computed with PBE-GGA.

Values from the calculation:
Magnetization (μB per cell): 0.00

Unit cell a=8.464 b=3.612 c=13.558 alpha=90.00 beta=90.00 gamma=90.00
Element x y z (fractional)
1 Tm 0.002 0.250 0.106
2 Tm 0.175 0.250 0.533
3 Tm 0.188 0.750 0.304
4 Tm 0.312 0.250 0.804
5 Tm 0.325 0.750 0.033
6 Tm 0.498 0.750 0.606
7 Tm 0.502 0.250 0.394
8 Tm 0.675 0.250 0.967
9 Tm 0.688 0.750 0.196
10 Tm 0.812 0.250 0.696
11 Tm 0.825 0.750 0.467
12 Tm 0.998 0.750 0.894
13 Pt 0.097 0.750 0.688
14 Pt 0.403 0.250 0.188
15 Pt 0.597 0.750 0.812
16 Pt 0.903 0.250 0.312
17 C 0.161 0.250 0.953
18 C 0.339 0.750 0.453
19 C 0.661 0.250 0.547
20 C 0.839 0.750 0.047

***

Model ii:
A relaxed Tm3PtC crystal, computed with PBE-GGA.

Values from the calculation:
Magnetization (μB per cell): 0.00

Unit cell a=4.719 b=4.719 c=4.719 alpha=90.00 beta=90.00 gamma=90.00
Element x y z (fractional)
1 Tm 0.000 0.000 0.500
2 Tm 0.000 0.500 0.000
3 Tm 0.500 0.000 0.000
4 Pt 0.500 0.500 0.500
5 C 0.000 0.000 0.000

***

Result of the stability comparison: model i is the most stable of them.

***

Model i:
A relaxed V3PtC crystal, computed with PBE-GGA.

Values from the calculation:
Magnetization (μB per cell): 0.00

Unit cell a=3.967 b=3.967 c=3.967 alpha=90.00 beta=90.00 gamma=90.00
Element x y z (fractional)
1 V 0.000 0.000 0.500
2 V 0.000 0.500 0.000
3 V 0.500 0.000 0.000
4 Pt 0.500 0.500 0.500
5 C 0.000 0.000 0.000

***

Model ii:
A relaxed V3PtC crystal, computed with PBE-GGA.

Values from the calculation:
Magnetization (μB per cell): 4.94

Unit cell a=4.709 b=4.709 c=4.709 alpha=90.00 beta=90.00 gamma=90.00
Element x y z (fractional)
1 V 0.000 0.000 0.500
2 V 0.000 0.500 0.000
3 V 0.500 0.000 0.000
4 Pt 0.000 0.000 0.000
5 C 0.500 0.500 0.500

***

Result of the stability comparison: model i is the most stable of them.

***

Model i:
A relaxed V3Pt2C crystal, computed with PBE-GGA.

Values from the calculation:
Magnetization (μB per cell): 0.00

Unit cell a=6.745 b=6.745 c=6.745 alpha=90.00 beta=90.00 gamma=90.00
Element x y z (fractional)
1 V 0.048 0.125 0.798
2 V 0.125 0.798 0.048
3 V 0.202 0.548 0.375
4 V 0.298 0.452 0.875
5 V 0.375 0.202 0.548
6 V 0.452 0.875 0.298
7 V 0.548 0.375 0.202
8 V 0.625 0.702 0.952
9 V 0.702 0.952 0.625
10 V 0.798 0.048 0.125
11 V 0.875 0.298 0.452
12 V 0.952 0.625 0.702
13 Pt 0.057 0.943 0.443
14 Pt 0.193 0.193 0.193
15 Pt 0.307 0.807 0.693
16 Pt 0.443 0.057 0.943
17 Pt 0.557 0.557 0.557
18 Pt 0.693 0.307 0.807
19 Pt 0.807 0.693 0.307
20 Pt 0.943 0.443 0.057
21 C 0.125 0.375 0.625
22 C 0.375 0.625 0.125
23 C 0.625 0.125 0.375
24 C 0.875 0.875 0.875

***

Model ii:
A relaxed V3Pt2C crystal, computed with PBE-GGA.

Values from the calculation:
Magnetization (μB per cell): 0.00

Unit cell a=6.060 b=6.060 c=5.027 alpha=101.33 beta=101.33 gamma=110.43
Element x y z (fractional)
1 V 0.000 0.500 0.000
2 V 0.088 0.225 0.494
3 V 0.225 0.088 0.994
4 V 0.500 0.000 0.500
5 V 0.775 0.912 0.006
6 V 0.912 0.775 0.506
7 Pt 0.301 0.699 0.750
8 Pt 0.431 0.569 0.250
9 Pt 0.569 0.431 0.750
10 Pt 0.699 0.301 0.250
11 C 0.094 0.906 0.250
12 C 0.906 0.094 0.750

***

Result of the stability comparison: model i is the most stable of them.

***

Model i:
A relaxed V2Pt2C crystal, computed with PBE-GGA.

Values from the calculation:
Magnetization (μB per cell): 3.12

Unit cell a=3.523 b=3.523 c=12.419 alpha=90.00 beta=90.00 gamma=90.00
Element x y z (fractional)
1 V 0.000 0.000 0.090
2 V 0.000 0.000 0.910
3 V 0.500 0.500 0.410
4 V 0.500 0.500 0.590
5 Pt 0.000 0.500 0.250
6 Pt 0.000 0.500 0.750
7 Pt 0.500 0.000 0.250
8 Pt 0.500 0.000 0.750
9 C 0.000 0.000 0.500
10 C 0.500 0.500 0.000

***

Model ii:
A relaxed V2Pt2C crystal, computed with PBE-GGA.

Values from the calculation:
Magnetization (μB per cell): 0.00

Unit cell a=5.381 b=5.381 c=4.572 alpha=90.00 beta=90.00 gamma=90.00
Element x y z (fractional)
1 V 0.162 0.338 0.000
2 V 0.338 0.838 0.000
3 V 0.662 0.162 0.000
4 V 0.838 0.662 0.000
5 Pt 0.171 0.671 0.500
6 Pt 0.329 0.171 0.500
7 Pt 0.671 0.829 0.500
8 Pt 0.829 0.329 0.500
9 C 0.000 0.000 0.000
10 C 0.500 0.500 0.000

***

Result of the stability comparison: model ii is the most stable of them.

***

Model i:
A relaxed YPtC3 crystal, computed with PBE-GGA.

Values from the calculation:
Magnetization (μB per cell): 0.00

Unit cell a=4.071 b=4.071 c=4.071 alpha=90.00 beta=90.00 gamma=90.00
Element x y z (fractional)
1 Y 0.000 0.000 0.000
2 Pt 0.500 0.500 0.500
3 C 0.000 0.500 0.500
4 C 0.500 0.000 0.500
5 C 0.500 0.500 0.000

***

Model ii:
A relaxed YPtC3 crystal, computed with PBE-GGA.

Values from the calculation:
Magnetization (μB per cell): 0.00

Unit cell a=4.386 b=4.386 c=4.386 alpha=90.00 beta=90.00 gamma=90.00
Element x y z (fractional)
1 Y 0.000 0.000 0.000
2 Pt 0.500 0.500 0.500
3 C 0.000 0.000 0.500
4 C 0.000 0.500 0.000
5 C 0.500 0.000 0.000

***

Result of the stability comparison: model i is the most stable of them.

***

Model i:
A relaxed Y2PtC crystal, computed with PBE-GGA.

Values from the calculation:
Magnetization (μB per cell): 0.00

Unit cell a=6.763 b=6.763 c=7.685 alpha=90.00 beta=90.00 gamma=90.00
Element x y z (fractional)
1 Y 0.189 0.250 0.125
2 Y 0.250 0.689 0.375
3 Y 0.250 0.811 0.875
4 Y 0.311 0.250 0.625
5 Y 0.689 0.750 0.625
6 Y 0.750 0.189 0.875
7 Y 0.750 0.311 0.375
8 Y 0.811 0.750 0.125
9 Pt 0.000 0.000 0.500
10 Pt 0.000 0.500 0.750
11 Pt 0.500 0.000 0.250
12 Pt 0.500 0.500 0.000
13 C 0.000 0.000 0.000
14 C 0.000 0.500 0.250
15 C 0.500 0.000 0.750
16 C 0.500 0.500 0.500

***

Model ii:
A relaxed Y2PtC crystal, computed with PBE-GGA.

Values from the calculation:
Magnetization (μB per cell): 0.00

Unit cell a=6.736 b=6.736 c=6.736 alpha=90.00 beta=90.00 gamma=90.00
Element x y z (fractional)
1 Y 0.250 0.250 0.250
2 Y 0.250 0.250 0.750
3 Y 0.250 0.750 0.250
4 Y 0.250 0.750 0.750
5 Y 0.750 0.250 0.250
6 Y 0.750 0.250 0.750
7 Y 0.750 0.750 0.250
8 Y 0.750 0.750 0.750
9 Pt 0.000 0.000 0.000
10 Pt 0.000 0.500 0.500
11 Pt 0.500 0.000 0.500
12 Pt 0.500 0.500 0.000
13 C 0.000 0.000 0.500
14 C 0.000 0.500 0.000
15 C 0.500 0.000 0.000
16 C 0.500 0.500 0.500

***

Result of the stability comparison: model i is the most stable of them.

***

Model i:
A relaxed Zr2PtC2 crystal, computed with PBE-GGA.

Values from the calculation:
Magnetization (μB per cell): 0.00

Unit cell a=7.019 b=7.019 c=2.890 alpha=90.00 beta=90.00 gamma=90.00
Element x y z (fractional)
1 Zr 0.152 0.348 0.000
2 Zr 0.348 0.848 0.000
3 Zr 0.652 0.152 0.000
4 Zr 0.848 0.652 0.000
5 Pt 0.000 0.000 0.000
6 Pt 0.500 0.500 0.000
7 C 0.149 0.649 0.500
8 C 0.351 0.149 0.500
9 C 0.649 0.851 0.500
10 C 0.851 0.351 0.500

***

Model ii:
A relaxed Zr2PtC2 crystal, computed with PBE-GGA.

Values from the calculation:
Magnetization (μB per cell): 0.00

Unit cell a=3.474 b=3.474 c=12.723 alpha=90.00 beta=90.00 gamma=90.00
Element x y z (fractional)
1 Zr 0.000 0.000 0.140
2 Zr 0.000 0.000 0.860
3 Zr 0.500 0.500 0.360
4 Zr 0.500 0.500 0.640
5 Pt 0.000 0.000 0.500
6 Pt 0.500 0.500 0.000
7 C 0.000 0.500 0.250
8 C 0.000 0.500 0.750
9 C 0.500 0.000 0.250
10 C 0.500 0.000 0.750

***

Result of the stability comparison: model ii is the most stable of them.

***

Model i:
A relaxed PuC crystal, computed with PBE-GGA.

Values from the calculation:
Magnetization (μB per cell): 0.00

Unit cell a=3.516 b=3.087 c=4.489 alpha=90.00 beta=101.20 gamma=90.00
Element x y z (fractional)
1 Pu 0.111 0.250 0.340
2 Pu 0.889 0.750 0.660
3 C 0.489 0.250 0.916
4 C 0.511 0.750 0.084

***

Model ii:
A relaxed PuC crystal, computed with PBE-GGA.

Values from the calculation:
Magnetization (μB per cell): 16.76

Unit cell a=4.986 b=4.986 c=4.986 alpha=90.00 beta=90.00 gamma=90.00
Element x y z (fractional)
1 Pu 0.000 0.000 0.000
2 Pu 0.000 0.500 0.500
3 Pu 0.500 0.000 0.500
4 Pu 0.500 0.500 0.000
5 C 0.000 0.000 0.500
6 C 0.000 0.500 0.000
7 C 0.500 0.000 0.000
8 C 0.500 0.500 0.500

***

Result of the stability comparison: model ii is the most stable of them.

***

Model i:
A relaxed PuC crystal, computed with PBE-GGA.

Values from the calculation:
Magnetization (μB per cell): 10.37

Unit cell a=3.645 b=4.239 c=4.298 alpha=78.83 beta=73.82 gamma=76.76
Element x y z (fractional)
1 Pu 0.178 0.225 0.232
2 Pu 0.822 0.775 0.768
3 C 0.488 0.375 0.640
4 C 0.512 0.625 0.360

***

Model ii:
A relaxed PuC crystal, computed with PBE-GGA.

Values from the calculation:
Magnetization (μB per cell): 16.50

Unit cell a=3.405 b=6.021 c=6.080 alpha=90.00 beta=90.00 gamma=90.00
Element x y z (fractional)
1 Pu 0.000 0.000 0.217
2 Pu 0.000 0.000 0.783
3 Pu 0.500 0.500 0.283
4 Pu 0.500 0.500 0.717
5 C 0.000 0.265 0.500
6 C 0.000 0.735 0.500
7 C 0.500 0.235 0.000
8 C 0.500 0.765 0.000

***

Result of the stability comparison: model i is the most stable of them.

***

Model i:
A relaxed Pu3C2 crystal, computed with PBE-GGA.

Values from the calculation:
Magnetization (μB per cell): 30.29

Unit cell a=6.847 b=6.847 c=6.847 alpha=51.96 beta=51.96 gamma=51.96
Element x y z (fractional)
1 Pu 0.073 0.750 0.427
2 Pu 0.250 0.573 0.927
3 Pu 0.427 0.073 0.750
4 Pu 0.573 0.927 0.250
5 Pu 0.750 0.427 0.073
6 Pu 0.927 0.250 0.573
7 C 0.163 0.163 0.163
8 C 0.337 0.337 0.337
9 C 0.663 0.663 0.663
10 C 0.837 0.837 0.837

***

Model ii:
A relaxed Pu3C2 crystal, computed with PBE-GGA.

Values from the calculation:
Magnetization (μB per cell): 12.07

Unit cell a=3.420 b=3.420 c=21.790 alpha=90.00 beta=90.00 gamma=120.00
Element x y z (fractional)
1 Pu 0.000 0.000 0.000
2 Pu 0.000 0.000 0.199
3 Pu 0.000 0.000 0.801
4 Pu 0.333 0.667 0.468
5 Pu 0.333 0.667 0.667
6 Pu 0.333 0.667 0.865
7 Pu 0.667 0.333 0.135
8 Pu 0.667 0.333 0.333
9 Pu 0.667 0.333 0.532
10 C 0.000 0.000 0.402
11 C 0.000 0.000 0.598
12 C 0.333 0.667 0.069
13 C 0.333 0.667 0.265
14 C 0.667 0.333 0.735
15 C 0.667 0.333 0.931

***

Result of the stability comparison: model ii is the most stable of them.

***

Model i:
A relaxed PuReC crystal, computed with PBE-GGA.

Values from the calculation:
Magnetization (μB per cell): 5.37

Unit cell a=3.496 b=3.496 c=4.693 alpha=90.00 beta=90.00 gamma=120.00
Element x y z (fractional)
1 Pu 0.000 0.000 0.000
2 Re 0.667 0.333 0.500
3 C 0.333 0.667 0.500

***

Model ii:
A relaxed PuReC crystal, computed with PBE-GGA.

Values from the calculation:
Magnetization (μB per cell): 10.21

Unit cell a=2.890 b=2.890 c=10.526 alpha=90.00 beta=90.00 gamma=90.00
Element x y z (fractional)
1 Pu 0.000 0.000 0.000
2 Pu 0.500 0.500 0.500
3 Re 0.000 0.000 0.278
4 Re 0.500 0.500 0.778
5 C 0.000 0.000 0.710
6 C 0.500 0.500 0.210

***

Result of the stability comparison: model i is the most stable of them.

***

Model i:
A relaxed Pu2RhC crystal, computed with PBE-GGA.

Values from the calculation:
Magnetization (μB per cell): 9.29

Unit cell a=3.125 b=3.125 c=6.841 alpha=90.00 beta=90.00 gamma=90.00
Element x y z (fractional)
1 Pu 0.000 0.000 0.202
2 Pu 0.000 0.000 0.798
3 Rh 0.500 0.500 0.500
4 C 0.500 0.500 0.000

***

Model ii:
A relaxed Pu2RhC crystal, computed with PBE-GGA.

Values from the calculation:
Magnetization (μB per cell): 29.08

Unit cell a=3.500 b=3.500 c=20.675 alpha=90.00 beta=90.00 gamma=120.00
Element x y z (fractional)
1 Pu 0.000 0.000 0.236
2 Pu 0.000 0.000 0.764
3 Pu 0.333 0.667 0.431
4 Pu 0.333 0.667 0.903
5 Pu 0.667 0.333 0.097
6 Pu 0.667 0.333 0.569
7 Rh 0.000 0.000 0.000
8 Rh 0.333 0.667 0.667
9 Rh 0.667 0.333 0.333
10 C 0.000 0.000 0.500
11 C 0.333 0.667 0.167
12 C 0.667 0.333 0.833

***

Result of the stability comparison: model ii is the most stable of them.